# CsRbRh3

CsRbRh3 after structural relaxation (GGA-PBE, Alexandria).

Computed properties:
Space group   No. 221
ΔE_f   1965.1 meV per atom
Volume   29.79 Å³ per atom
Raw total energy   -14.0 eV per cell

a = 5.3009 Å, b = 5.3009 Å, c = 5.3009 Å
α = 90.00°, β = 90.00°, γ = 90.00°
Last column: magnetic moment on the atom in μB.
Fractional positions:
Cs 0.5000 0.5000 0.5000  -0.01
Rb 0.0000 0.0000 0.0000  0.01
Rh 0.5000 0.0000 0.0000  0.77
Rh 0.0000 0.0000 0.5000  0.84
Rh 0.0000 0.5000 0.0000  0.93



# Sr3ZrPa2As6

Sr3ZrPa2As6 after structural relaxation (GGA-PBE, Alexandria).

Computed properties:
Space group   No. 12
ΔE_f   -1154.1 meV per atom
Volume   26.85 Å³ per atom
Raw total energy   -74.3 eV per cell

a = 7.2308 Å, b = 7.2308 Å, c = 7.5141 Å
α = 99.23°, β = 99.23°, γ = 120.00°
Fractional positions:
As 0.4011 0.0720 0.2162
Zr 0.0000 0.0000 0.0000
As 0.0720 0.4011 0.2162
Sr 0.5000 0.5000 0.5000
Sr 0.8327 0.1673 0.5000
Pa 0.3334 0.6666 0.0000
Pa 0.6666 0.3334 0.0000
As 0.9280 0.5989 0.7838
As 0.2565 0.2565 0.7827
As 0.5989 0.9280 0.7838
Sr 0.1673 0.8327 0.5000
As 0.7435 0.7435 0.2173



# HgPd8Pt2

HgPd8Pt2 after structural relaxation (GGA-PBE, Alexandria).

Computed properties:
Space group   No. 12
ΔE_f   163.0 meV per atom
Volume   16.92 Å³ per atom
Raw total energy   -52.1 eV per cell

a = 4.9013 Å, b = 7.4384 Å, c = 7.1497 Å
α = 58.66°, β = 73.43°, γ = 56.75°
Fractional positions:
Hg 0.5000 0.0000 0.0000
Pt 0.0000 0.6927 0.6147
Pd 0.8756 0.0958 0.2299
Pd 0.3166 0.4124 0.0000
Pd 0.6834 0.5876 0.0000
Pd 0.5000 0.7768 0.4463
Pd 0.1244 0.9042 0.7701
Pd 0.8756 0.3257 0.7701
Pt 0.0000 0.3073 0.3853
Pd 0.1244 0.6743 0.2299
Pd 0.5000 0.2232 0.5537



# HRuPb3

HRuPb3 after structural relaxation (GGA-PBE, Alexandria).

Computed properties:
Space group   No. 221
Volume   20.98 Å³ per atom
Raw total energy   -20.2 eV per cell

a = 4.7159 Å, b = 4.7159 Å, c = 4.7159 Å
α = 90.00°, β = 90.00°, γ = 90.00°
Last column: magnetic moment on the atom in μB.
Fractional positions:
H 0.0000 0.0000 0.0000  0.00
Pb 0.0000 0.0000 0.5000  0.00
Pb 0.5000 0.0000 0.0000  0.00
Pb 0.0000 0.5000 0.0000  -0.01
Ru 0.5000 0.5000 0.5000  0.26



# Tb2LuNi

Tb2LuNi after structural relaxation (GGA-PBE, Alexandria).

Computed properties:
Space group   No. 166
ΔE_f   104.9 meV per atom
Volume   28.16 Å³ per atom
Raw total energy   -19.1 eV per cell

a = 3.5675 Å, b = 3.5675 Å, c = 10.4263 Å
α = 80.15°, β = 80.15°, γ = 60.00°
Fractional positions:
Ni 0.5000 0.5000 0.5000
Tb 0.8901 0.8901 0.3298
Lu 0.0000 0.0000 0.0000
Tb 0.1099 0.1099 0.6702



# MgAlH2

MgAlH2 after structural relaxation (GGA-PBE, Alexandria).

Computed properties:
Space group   No. 1
Volume   13.01 Å³ per atom
Raw total energy   -23.8 eV per cell

a = 3.0060 Å, b = 5.0703 Å, c = 6.8354 Å
α = 87.82°, β = 89.80°, γ = 89.43°
Fractional positions:
H 0.2463 0.6935 0.7096
H 0.2513 0.0584 0.0636
Al 0.2463 0.1292 0.3032
H 0.7407 0.5919 0.0027
Mg 0.7450 0.9023 0.6150
Mg 0.2427 0.3833 0.8911
Al 0.7354 0.5957 0.2600
H 0.7463 0.2182 0.7648



# BaPdS

BaPdS after structural relaxation (GGA-PBE, Alexandria).

Computed properties:
Space group   No. 6
Volume   28.01 Å³ per atom
Raw total energy   -29.5 eV per cell

a = 4.5965 Å, b = 4.3139 Å, c = 8.7772 Å
α = 90.01°, β = 105.04°, γ = 90.00°
Fractional positions:
Pd 0.1772 0.4643 0.0143
Pd 0.5907 0.4641 0.8398
S 0.7293 0.4643 0.1179
Ba 0.0264 0.9639 0.7093
S 0.4516 0.4641 0.5580
Ba 0.3086 0.9644 0.2701



# KSc2Al

KSc2Al after structural relaxation (GGA-PBE, Alexandria).

Computed properties:
Space group   No. 44
ΔE_f   406.9 meV per atom
Volume   26.44 Å³ per atom
Raw total energy   -15.9 eV per cell

a = 6.5877 Å, b = 6.5877 Å, c = 6.5877 Å
α = 149.80°, β = 132.19°, γ = 57.59°
Fractional positions:
Sc 0.0162 0.0162 0.0000
K 0.7234 0.2234 0.5000
Al 0.4785 0.4785 0.0000
Sc 0.2819 0.7819 0.5000